# ZnHgIr3

A relaxed ZnHgIr3 crystal (PBE-GGA, Alexandria).

- Total moment: 0.0 μB per cell
- Energy: -4.173 eV per atom
- Energy above the most stable polymorph in this dataset: 0.0 meV per atom

Unit cell a=4.562 b=4.562 c=4.562 alpha=90.00 beta=90.00 gamma=90.00
Space group Pm-3m (No. 221)
Inequivalent atoms, fractional coordinates:
Zn1 0.000 0.000 0.000
Hg1 0.500 0.500 0.500
Ir1 0.000 0.000 0.500

# Zr2HgIr

A relaxed Zr2HgIr crystal (PBE-GGA, Alexandria).

- Total moment: 0.0 μB per cell
- Energy: -6.862 eV per atom

Unit cell a=3.435 b=3.435 c=6.825 alpha=90.00 beta=90.00 gamma=90.00
Space group P4mm (No. 99)
Inequivalent atoms, fractional coordinates:
Zr1 0.000 0.000 0.000
Zr2 0.500 0.500 0.290
Hg1 0.000 0.000 0.551
Ir1 0.500 0.500 0.808

# ZrHgIr

A relaxed ZrHgIr crystal (PBE-GGA, Alexandria).

- Total moment: 0.0 μB per cell
- Energy: -6.105 eV per atom
- Energy above the most stable polymorph in this dataset: 167.3 meV per atom

Unit cell a=4.6820 b=4.6820 c=2.9934 alpha=90.00 beta=90.00 gamma=120.00
Space group P3m1 (No. 156)
Inequivalent atoms, fractional coordinates:
Zr1 0.0000 0.0000 0.0000
Hg1 0.6667 0.3333 0.4830
Ir1 0.3333 0.6667 0.6362

# Zr5Hg4Ir

A relaxed Zr5Hg4Ir crystal (PBE-GGA, Alexandria).

- Total moment: 0.0 μB per cell
- Energy: -5.568 eV per atom

Unit cell a=3.188 b=3.188 c=20.556 alpha=90.00 beta=90.00 gamma=90.00
Space group P4/mmm (No. 123)
Inequivalent atoms, fractional coordinates:
Zr1 0.000 0.000 0.000
Zr2 0.000 0.000 0.205
Zr3 0.000 0.000 0.414
Hg1 0.500 0.500 0.103
Hg2 0.500 0.500 0.308
Ir1 0.500 0.500 0.500

# Zr2HgIr

A relaxed Zr2HgIr crystal (PBE-GGA, Alexandria).

- Total moment: 0.0 μB per cell
- Energy: -6.864 eV per atom

Unit cell a=4.124 b=4.124 c=9.185 alpha=90.00 beta=90.00 gamma=90.00
Space group I-4m2 (No. 119)
Inequivalent atoms, fractional coordinates:
Zr1 0.000 0.000 0.000
Zr2 0.000 0.500 0.250
Hg1 0.000 0.500 0.750
Ir1 0.000 0.000 0.500

# Zr2HgIr

A relaxed Zr2HgIr crystal (PBE-GGA, Alexandria).

- Total moment: 0.0 μB per cell
- Energy: -6.610 eV per atom

Unit cell a=3.2099 b=3.2099 c=28.0159 alpha=90.00 beta=90.00 gamma=120.00
Space group R3m (No. 160, hexagonal axes)
Inequivalent atoms, fractional coordinates:
Zr1 0.0000 0.0000 0.0000
Zr2 0.0000 0.0000 0.2424
Hg1 0.0000 0.0000 0.4864
Ir1 0.0000 0.0000 0.7372

# Zr2HgIr

A relaxed Zr2HgIr crystal (PBE-GGA, Alexandria).

- Total moment: 0.0 μB per cell
- Energy: -6.990 eV per atom

Unit cell a=3.407 b=4.445 c=5.670 alpha=90.00 beta=107.40 gamma=90.00
Space group Pm (No. 6)
Inequivalent atoms, fractional coordinates:
Zr1 0.000 0.000 0.000
Zr2 0.302 0.500 0.608
Hg1 0.578 0.500 0.156
Ir1 0.756 0.000 0.516

# Zr2HgIr

A relaxed Zr2HgIr crystal (PBE-GGA, Alexandria).

- Total moment: 0.0 μB per cell
- Energy: -6.647 eV per atom

Unit cell a=7.772 b=7.772 c=5.774 alpha=90.00 beta=90.00 gamma=90.00
Space group I-42d (No. 122)
Inequivalent atoms, fractional coordinates:
Zr1 0.204 0.250 0.125
Hg1 0.000 0.000 0.500
Ir1 0.000 0.000 0.000